# 1
# K3MnNb2O8 | Alexandria via LeMat-Bulk | PBE+U | optimized geometry
data_K3MnNb2O8
_cell_length_a 5.8547
_cell_length_b 5.8547
_cell_length_c 7.5737
_cell_angle_alpha 90.00
_cell_angle_beta 90.00
_cell_angle_gamma 120.00
_symmetry_space_group_name_H-M 'P -3 m 1'
_symmetry_Int_Tables_number 164
_symmetry_space_group_name_Hall '-P 3 2"'
loop_
_atom_site_label
_atom_site_type_symbol
_atom_site_fract_x
_atom_site_fract_y
_atom_site_fract_z
_atom_site_occupancy
K1 K 0.0000 0.0000 0.0000 1
K2 K 0.3333 0.6667 0.6789 1
Mn1 Mn 0.0000 0.0000 0.5000 1
Nb1 Nb 0.3333 0.6667 0.2549 1
O1 O 0.1589 0.3177 0.3457 1
O2 O 0.3333 0.6667 0.0144 1
# M_tot	2.00	μB per formula unit
# calculated total energy	-98.8	eV/f.u.
# DOS(E_F)	3.7	states/eV/cell

---

# 2
# K2CrF3 | Alexandria via LeMat-Bulk | PBE+U | optimized geometry
data_K2CrF3
_cell_length_a 3.901
_cell_length_b 4.399
_cell_length_c 13.370
_cell_angle_alpha 90.00
_cell_angle_beta 90.00
_cell_angle_gamma 90.00
_symmetry_space_group_name_H-M 'I m m m'
_symmetry_Int_Tables_number 71
_symmetry_space_group_name_Hall '-I 2 2'
loop_
_atom_site_label
_atom_site_type_symbol
_atom_site_fract_x
_atom_site_fract_y
_atom_site_fract_z
_atom_site_occupancy
K1 K 0.000 0.000 0.148 1
Cr1 Cr 0.000 0.000 0.500 1
F1 F 0.000 0.000 0.347 1
F2 F 0.000 0.500 0.500 1
# M_tot	3.93	μB per formula unit
# calculated total energy	-28.8	eV/f.u.
# DOS(E_F)	1.7	states/eV/cell